[1]
KCo2Hg | the Alexandria database | SCAN | PBEsol geometry; energy of formation from the pure elements = 3.8 eV per formula unit; total DFT energy (no corrections) = -26.838 eV per atom; space group = No. 166
1.0
1.435 0.829 9.851
-1.435 0.829 9.851
0.000 -1.657 9.851
K Co Hg
1 2 1
Direct
0.000 0.000 0.000
0.240 0.240 0.240
0.760 0.760 0.760
0.500 0.500 0.500

[2]
NiMo2Ru | the Alexandria database | SCAN | PBEsol geometry; energy of formation from the pure elements = 0.2 eV per formula unit; total DFT energy (no corrections) = -30.145 eV per atom; space group = No. 47
1.0
2.703 0.000 0.000
0.000 3.781 0.000
0.000 0.000 5.312
Ni Mo Ru
1 2 1
Direct
0.000 0.000 0.000
0.500 0.500 0.249
0.500 0.500 0.751
0.000 0.000 0.500